Density functional theory data (PBE-GGA) for a relaxed structure of NdMnGe2Os.

Values from the calculation:
formation energy from the elements = -0.474 eV per atom
raw total energy = -36.77 eV/cell
volume = 91.2 Å³ per cell

abc: 4.100 4.100 6.154
angles: 109.46 109.46 90.00
Each line ends with the local moment (μB).
Element x y z (fractional)
Os1 0.750 0.250 0.500  0.02
Ge1 0.622 0.622 0.243  -0.05
Ge2 0.378 0.378 0.757  -0.05
Mn1 0.250 0.750 0.500  2.87
Nd1 0.000 0.000 0.000  -0.06